# 1
The following is a PBE calculation of a geometry-optimized NaFe3Cl9 structure, from Alexandria.

Output
- ΔE_f (raw): -0.9105 eV per atom
- Magnetization: 14.00 μB per formula unit
- V: 32.15 Å³ per atom
- Symmetry: Cc, No. 9
- N(E_F): 9.90 states/eV per cell

a = 9.0568 Å, b = 10.2506 Å, c = 11.0195 Å
α = 77.35°, β = 65.74°, γ = 63.78°
Sites, in units of the cell vectors:
Cl 0.1328 0.7205 0.8381
Fe 0.8180 0.5361 0.6736
Cl 0.6036 0.7483 0.6731
Cl 0.8400 0.4493 0.8679
Na 0.4803 0.9878 0.4960
Cl 0.3085 0.2205 0.3381
Fe 0.6071 0.2507 0.7142
Cl 0.7939 0.3691 0.5805
Cl 0.8189 0.0568 0.0402
Cl 0.8428 0.9493 0.3679
Fe 0.9984 0.9572 0.8342
Cl 0.6873 0.7483 0.0893
Cl 0.7912 0.0112 0.7380
Fe 0.9724 0.0361 0.1736
Cl 0.4310 0.3454 0.9069
Fe 0.4279 0.7507 0.2142
Cl 0.0310 0.5768 0.2258
Cl 0.1664 0.0768 0.7258
Cl 0.2565 0.8691 0.0805
Cl 0.0841 0.5568 0.5402
Cl 0.4596 0.5112 0.2380
Cl 0.3167 0.8454 0.4069
Cl 0.4751 0.2483 0.5893
Na 0.0359 0.4878 0.9960
Cl 0.9751 0.2483 0.1731
Fe 0.2102 0.4572 0.3342



# 2
The following is a PBE calculation of a geometry-optimized PuNbZn structure, from Alexandria.

Output
- Magnetization: 5.01 μB per formula unit
- V: 19.67 Å³ per atom
- Energy above the lowest structure with this stoichiometry: 110 meV/atom
- Symmetry: P3m1, No. 156
- ΔE_f: 191 meV/atom
- N(E_F): 6.36 states/eV per cell

a = 2.8078 Å, b = 4.9258 Å, c = 4.9258 Å
α = 120.00°, β = 90.00°, γ = 90.00°
Sites, in units of the cell vectors:
Zn 0.8321 0.6667 0.3333
Pu 0.3334 0.3333 0.6667
Nb 0.8345 0.0000 0.0000



# 3
The following is a PBE calculation of a geometry-optimized BBrO structure, from Alexandria.

Output
- ΔE_f (raw): -0.4785 eV per atom
- Magnetization: 0.00 μB per formula unit
- V: 20.58 Å³ per atom
- Energy above the lowest structure with this stoichiometry: 840 meV/atom
- Symmetry: R-3m, No. 166
- N(E_F): 0.00 states/eV per cell

a = 3.4959 Å, b = 3.4959 Å, c = 11.8426 Å
α = 81.51°, β = 81.51°, γ = 60.00°
Sites, in units of the cell vectors:
Br 0.3913 0.3913 0.8260
B 0.0928 0.0928 0.7217
O 0.8725 0.8725 0.3825
O 0.1275 0.1275 0.6175
Br 0.6087 0.6087 0.1740
B 0.9072 0.9072 0.2783



# 4
The following is a PBE calculation of a geometry-optimized Rb4Pu3PaSe8 structure, from Alexandria.

Output
- ΔE_f (raw): -1.4435 eV per atom
- Magnetization: 17.00 μB per formula unit
- V: 32.10 Å³ per atom
- Symmetry: R-3m, No. 166
- N(E_F): 37.32 states/eV per cell

a = 8.6183 Å, b = 9.4107 Å, c = 8.6190 Å
α = 117.28°, β = 120.00°, γ = 90.00°
Sites, in units of the cell vectors:
Pa 0.0000 0.5000 0.0000
Rb 0.5000 0.0000 0.0000
Se 0.2681 0.3044 0.5361
Se 0.2583 0.3040 0.0311
Se 0.7417 0.6960 0.9689
Pu 0.5000 0.5000 0.0000
Rb 0.5000 0.0000 0.5000
Pu 0.5000 0.5000 0.5000
Se 0.7319 0.6956 0.4639
Pu 0.0000 0.5000 0.5000
Rb 0.0000 0.0000 0.0000
Se 0.2273 0.6960 0.4545
Rb 0.0000 0.0000 0.5000
Se 0.7727 0.3040 0.0311
Se 0.2273 0.6960 0.9689
Se 0.7727 0.3040 0.5455



# 5
The following is a PBE calculation of a geometry-optimized MgSc5 structure, from Alexandria.

Output
- Magnetization: 1.15 μB per formula unit
- V: 24.20 Å³ per atom
- Energy above the lowest structure with this stoichiometry: 12 meV/atom
- Symmetry: Amm2, No. 38
- ΔE_f: 16 meV/atom
- N(E_F): 10.41 states/eV per cell

a = 8.6824 Å, b = 8.6824 Å, c = 5.1717 Å
α = 90.00°, β = 90.00°, γ = 158.13°
Sites, in units of the cell vectors:
Sc 0.1117 0.8883 0.5000
Sc 0.4465 0.5535 0.5000
Sc 0.6662 0.3338 0.0000
Sc 0.7772 0.2228 0.5000
Sc 0.3303 0.6697 0.0000
Mg 0.0015 0.9985 0.0000



# 6
The following is a PBE calculation of a geometry-optimized As3RuRh structure, from Alexandria.

Output
- Magnetization: 0.00 μB per formula unit
- V: 20.86 Å³ per atom
- Energy above the lowest structure with this stoichiometry: 0 meV/atom
- Symmetry: Pm-3m, No. 221
- ΔE_f: 741 meV/atom
- N(E_F): 3.20 states/eV per cell

a = 4.7073 Å, b = 4.7073 Å, c = 4.7073 Å
α = 90.00°, β = 90.00°, γ = 90.00°
Sites, in units of the cell vectors:
As 0.5000 0.0000 0.0000
As 0.0000 0.0000 0.5000
As 0.0000 0.5000 0.0000
Ru 0.0000 0.0000 0.0000
Rh 0.5000 0.5000 0.5000



# 7
The following is a PBE calculation of a geometry-optimized ZrSi2MoPt structure, from Alexandria.

Output
- ΔE_f (raw): 1.3235 eV per atom
- Magnetization: 3.25 μB per formula unit
- V: 23.67 Å³ per atom
- Symmetry: P4/mmm, No. 123
- N(E_F): 4.02 states/eV per cell

a = 4.8955 Å, b = 4.9383 Å, c = 4.8955 Å
α = 90.00°, β = 90.00°, γ = 90.00°
Sites, in units of the cell vectors:
Si 0.5000 0.0000 0.0000
Mo 0.5000 0.5000 0.5000
Pt 0.0000 0.5000 0.0000
Si 0.0000 0.0000 0.5000
Zr 0.0000 0.0000 0.0000



# 8
The following is a PBE calculation of a geometry-optimized SiAgTe3 structure, from Alexandria.

Output
- ΔE_f (raw): 0.1163 eV per atom
- Magnetization: 0.00 μB per formula unit
- V: 31.38 Å³ per atom
- Energy above the lowest structure with this stoichiometry: 0 meV/atom
- Symmetry: Ima2, No. 46
- N(E_F): 7.68 states/eV per cell

a = 7.9201 Å, b = 7.9201 Å, c = 7.9201 Å
α = 81.16°, β = 119.88°, γ = 130.95°
Sites, in units of the cell vectors:
Si 0.3642 0.0334 0.8308
Te 0.9631 0.2944 0.8180
Te 0.1928 0.2813 0.4115
Te 0.9631 0.6451 0.1688
Si 0.2026 0.5334 0.1692
Te 0.8698 0.7813 0.5885
Ag 0.6519 0.4041 0.7478
Te 0.4764 0.1451 0.1820
Te 0.4764 0.7944 0.8312
Ag 0.6563 0.9041 0.2522